Entry 1:
A plane-wave DFT calculation with PBEsol was carried out for a geometry-optimized BeWAu2 structure.

- Fermi-level density of states (states/eV/cell) = 5.8
- electronic total energy (eV/cell) = -48.61

Cell: 2.8536 4.4843 8.9577 Å, 90.00 90.00 90.00°
Fractional positions:
Be 0.0000 0.0000 0.0000
Be 0.5000 0.5000 0.5000
W 0.0000 0.0000 0.5000
W 0.5000 0.5000 0.0000
Au 0.0000 0.5000 0.2899
Au 0.0000 0.5000 0.7101
Au 0.5000 0.0000 0.2101
Au 0.5000 0.0000 0.7899

Entry 2:
A plane-wave DFT calculation with PBEsol was carried out for a geometry-optimized BeW2Au structure.

- Fermi-level density of states (states/eV/cell) = 4.9
- electronic total energy (eV/cell) = -67.67

Cell: 3.8509 3.8509 7.8480 Å, 90.00 90.00 90.00°
Fractional positions:
Be 0.0000 0.0000 0.0000
Be 0.5000 0.5000 0.5000
W 0.0000 0.0000 0.5000
W 0.0000 0.5000 0.2500
W 0.5000 0.0000 0.7500
W 0.5000 0.5000 0.0000
Au 0.0000 0.5000 0.7500
Au 0.5000 0.0000 0.2500

Entry 3:
A plane-wave DFT calculation with PBEsol was carried out for a geometry-optimized BeW4Au structure.

- Fermi-level density of states (states/eV/cell) = 4.9
- electronic total energy (eV/cell) = -57.82

Cell: 5.1996 5.1996 5.1996 Å, 60.00 60.00 60.00°
Fractional positions:
Be 0.0000 0.0000 0.0000
W 0.3741 0.3741 0.3741
W 0.3741 0.3741 0.8778
W 0.3741 0.8778 0.3741
W 0.8778 0.3741 0.3741
Au 0.7500 0.7500 0.7500

Entry 4:
A plane-wave DFT calculation with PBEsol was carried out for a geometry-optimized YBe2Au structure.

- Fermi-level density of states (states/eV/cell) = 3.5
- electronic total energy (eV/cell) = -39.03

Cell: 3.6737 3.3388 10.1549 Å, 90.00 90.00 90.00°
Fractional positions:
Y 0.0000 0.0000 0.0000
Y 0.0000 0.5000 0.5000
Be 0.0000 0.0000 0.2723
Be 0.0000 0.5000 0.7723
Be 0.5000 0.0000 0.3711
Be 0.5000 0.5000 0.8711
Au 0.5000 0.0000 0.7082
Au 0.5000 0.5000 0.2082

Entry 5:
A plane-wave DFT calculation with PBEsol was carried out for a geometry-optimized BeZnAu2 structure.

- Fermi-level density of states (states/eV/cell) = 1.2
- excess energy over the best structure of this formula in the dataset (meV/atom) = 6.1
- electronic total energy (eV/cell) = -27.97

Cell: 3.3538 3.9599 8.5301 Å, 90.00 90.00 90.00°
Fractional positions:
Be 0.0000 0.0000 0.0000
Be 0.5000 0.5000 0.5000
Zn 0.0000 0.5000 0.7495
Zn 0.5000 0.0000 0.2495
Au 0.0000 0.0000 0.5275
Au 0.0000 0.5000 0.2965
Au 0.5000 0.0000 0.7965
Au 0.5000 0.5000 0.0275

Entry 6:
A plane-wave DFT calculation with PBEsol was carried out for a geometry-optimized BeZnAu2 structure.

- Fermi-level density of states (states/eV/cell) = 1.1
- excess energy over the best structure of this formula in the dataset (meV/atom) = 34.2
- electronic total energy (eV/cell) = -13.87

Cell: 3.1207 3.1207 5.8309 Å, 90.00 90.00 90.00°
Fractional positions:
Be 0.0000 0.0000 0.0000
Zn 0.5000 0.5000 0.2514
Au 0.0000 0.0000 0.4858
Au 0.5000 0.5000 0.8169